No. 1
A geometry-optimized Ti12CdIn3 structure. Source: the Alexandria database, functional PBE-GGA.

a = 4.1603 Å, b = 4.1603 Å, c = 16.6122 Å
α = 90.00°, β = 90.00°, γ = 90.00°
Closest atoms and distances in Å follow each position.
Fractional positions:
Ti (0.0000, 0.0000, 0.0000)  8 Ti 2.94, 4 Cd 2.94
Ti (0.0000, 0.0000, 0.2487)  8 Ti 2.93-2.95, 4 In 2.94
Ti (0.0000, 0.0000, 0.5000)  8 Ti 2.94, 4 In 2.94
Ti (0.0000, 0.0000, 0.7513)  8 Ti 2.93-2.95, 4 In 2.94
Ti (0.0000, 0.5000, 0.1247)  8 Ti 2.93-2.94, 2 In 2.93, 2 Cd 2.94
Ti (0.0000, 0.5000, 0.3749)  4 In 2.94-2.95, 8 Ti 2.94-2.95
Ti (0.0000, 0.5000, 0.6251)  4 In 2.94-2.95, 8 Ti 2.94-2.95
Ti (0.0000, 0.5000, 0.8753)  8 Ti 2.93-2.94, 2 In 2.93, 2 Cd 2.94
Ti (0.5000, 0.0000, 0.1247)  8 Ti 2.93-2.94, 2 In 2.93, 2 Cd 2.94
Ti (0.5000, 0.0000, 0.3749)  4 In 2.94-2.95, 8 Ti 2.94-2.95
Ti (0.5000, 0.0000, 0.6251)  4 In 2.94-2.95, 8 Ti 2.94-2.95
Ti (0.5000, 0.0000, 0.8753)  8 Ti 2.93-2.94, 2 In 2.93, 2 Cd 2.94
Cd (0.5000, 0.5000, 0.0000)  12 Ti 2.94
In (0.5000, 0.5000, 0.2493)  12 Ti 2.93-2.95
In (0.5000, 0.5000, 0.5000)  12 Ti 2.94
In (0.5000, 0.5000, 0.7507)  12 Ti 2.93-2.95

Spin magnetization, μB per formula unit: 0.0
Calculated formation energy, eV per atom: -0.08
Space group: P4/mmm

No. 2
A geometry-optimized CaSnMoN2 structure. Source: the Alexandria database, functional PBE-GGA.

a = 4.0872 Å, b = 4.0872 Å, c = 5.4419 Å
α = 90.00°, β = 90.00°, γ = 90.00°
Closest atoms and distances in Å follow each position.
Fractional positions:
Ca (0.0000, 0.0000, 0.0000)  4 Sn 2.89
Sn (0.5000, 0.5000, 0.0000)  2 Mo 2.72, 4 Ca 2.89
Mo (0.5000, 0.5000, 0.5000)  4 N 2.04
N (0.0000, 0.5000, 0.5000)  2 Mo 2.04
N (0.5000, 0.0000, 0.5000)  2 Mo 2.04

E_form (uncorrected), kJ per mole of atoms: 33
Excess energy over the best structure of this formula in the dataset, meV/atom: 0.0
Spin magnetization, μB per formula unit: 0.0
Space group: P4/mmm

No. 3
A geometry-optimized NaSmIn structure. Source: the Alexandria database, functional PBE-GGA.

a = 5.3597 Å, b = 5.3597 Å, c = 3.3689 Å
α = 90.00°, β = 90.00°, γ = 120.00°
Closest atoms and distances in Å follow each position.
Fractional positions:
Na (0.0000, 0.0000, 0.0000)  3 In 3.09, 2 Na 3.37
Sm (0.6667, 0.3333, 0.5000)  2 Sm 3.37, 6 Na 3.52, 6 In 3.52
In (0.3333, 0.6667, 0.0000)  3 Na 3.09, 2 In 3.37

Excess energy over the best structure of this formula in the dataset, meV/atom: 0.0
Spin magnetization, μB per formula unit: 0.0
Calculated formation energy, eV per atom: -0.13
Space group: P-6m2

No. 4
A geometry-optimized Ac2Mg3Ag2 structure. Source: the Alexandria database, functional PBE-GGA.

a = 11.3106 Å, b = 4.7178 Å, c = 8.0129 Å
α = 90.00°, β = 115.25°, γ = 90.00°
Closest atoms and distances in Å follow each position.
Fractional positions:
Ac (0.1422, 0.0000, 0.2805)  4 Ag 3.25-3.47, 3 Mg 3.61-3.64
Ac (0.3578, 0.5000, 0.7195)  4 Ag 3.25-3.47, 3 Mg 3.61-3.64
Ac (0.6422, 0.5000, 0.2805)  4 Ag 3.25-3.47, 3 Mg 3.61-3.64
Ac (0.8578, 0.0000, 0.7195)  4 Ag 3.25-3.47, 3 Mg 3.61-3.64
Mg (0.0000, 0.5000, 0.5000)  4 Ag 2.97, 2 Mg 3.14
Mg (0.1311, 0.5000, 0.9330)  3 Ag 2.88-2.98, 1 Mg 3.14
Mg (0.3689, 0.0000, 0.0670)  3 Ag 2.88-2.98, 1 Mg 3.14
Mg (0.5000, 0.0000, 0.5000)  4 Ag 2.97, 2 Mg 3.14
Mg (0.6311, 0.0000, 0.9330)  3 Ag 2.88-2.98, 1 Mg 3.14
Mg (0.8689, 0.5000, 0.0670)  3 Ag 2.88-2.98, 1 Mg 3.14
Ag (0.1440, 0.0000, 0.7151)  5 Mg 2.88-2.98
Ag (0.3560, 0.5000, 0.2849)  5 Mg 2.88-2.98
Ag (0.6440, 0.5000, 0.7151)  5 Mg 2.88-2.98
Ag (0.8560, 0.0000, 0.2849)  5 Mg 2.88-2.98

Excess energy over the best structure of this formula in the dataset, meV/atom: 0.0
Spin magnetization, μB per formula unit: 0.0
Calculated formation energy, eV per atom: -0.23
Space group: C2/m

No. 5
A geometry-optimized Pm3Hg4Au2 structure. Source: the Alexandria database, functional PBE-GGA.

a = 6.0605 Å, b = 6.0605 Å, c = 9.2008 Å
α = 116.53°, β = 116.53°, γ = 48.17°
Closest atoms and distances in Å follow each position.
Fractional positions:
Pm (0.0000, 0.0000, 0.0000)  8 Hg 3.28-3.40, 4 Au 3.31, 2 Pm 3.45
Pm (0.3295, 0.3295, 0.3404)  4 Au 3.25-3.40, 8 Hg 3.29-3.41, 2 Pm 3.45-3.47
Pm (0.6705, 0.6705, 0.6596)  4 Au 3.25-3.40, 8 Hg 3.29-3.41, 2 Pm 3.45-3.47
Hg (0.0508, 0.0508, 0.3826)  2 Au 2.84, 1 Hg 2.88
Hg (0.2821, 0.2821, 0.9449)  1 Au 2.84, 2 Hg 2.89
Hg (0.7179, 0.7179, 0.0551)  1 Au 2.84, 2 Hg 2.89
Hg (0.9492, 0.9492, 0.6174)  2 Au 2.84, 1 Hg 2.88
Au (0.3940, 0.3940, 0.7254)  3 Hg 2.84
Au (0.6060, 0.6060, 0.2746)  3 Hg 2.84

Excess energy over the best structure of this formula in the dataset, meV/atom: 0.0
Spin magnetization, μB per formula unit: 0.0
Calculated formation energy, eV per atom: -0.55
Space group: C2/m

No. 6
A geometry-optimized Nb2IrI structure. Source: the Alexandria database, functional PBE-GGA.

a = 6.0117 Å, b = 6.0117 Å, c = 12.2655 Å
α = 90.00°, β = 90.00°, γ = 90.00°
Closest atoms and distances in Å follow each position.
Fractional positions:
Nb (0.2015, 0.2500, 0.1250)  2 Ir 2.47
Nb (0.2500, 0.7015, 0.3750)  2 Ir 2.47
Nb (0.2500, 0.7985, 0.8750)  2 Ir 2.47
Nb (0.2985, 0.2500, 0.6250)  2 Ir 2.47
Nb (0.7015, 0.7500, 0.6250)  2 Ir 2.47
Nb (0.7500, 0.2015, 0.8750)  2 Ir 2.47
Nb (0.7500, 0.2985, 0.3750)  2 Ir 2.47
Nb (0.7985, 0.7500, 0.1250)  2 Ir 2.47
Ir (0.0000, 0.0000, 0.0000)  4 Nb 2.47
Ir (0.0000, 0.5000, 0.2500)  4 Nb 2.47
Ir (0.5000, 0.0000, 0.7500)  4 Nb 2.47
Ir (0.5000, 0.5000, 0.5000)  4 Nb 2.47
I (0.0000, 0.0000, 0.5000)  4 Nb 2.80
I (0.0000, 0.5000, 0.7500)  4 Nb 2.80
I (0.5000, 0.0000, 0.2500)  4 Nb 2.80
I (0.5000, 0.5000, 0.0000)  4 Nb 2.80

E_form (uncorrected), kJ per mole of atoms: 70
Excess energy over the best structure of this formula in the dataset, meV/atom: 359.2
Spin magnetization, μB per formula unit: 0.0
Space group: I-42d

No. 7
A geometry-optimized CdSnBr structure. Source: the Alexandria database, functional PBE-GGA.

a = 5.0042 Å, b = 12.0086 Å, c = 6.6405 Å
α = 90.00°, β = 90.00°, γ = 90.00°
Closest atoms and distances in Å follow each position.
Fractional positions:
Cd (0.0000, 0.0536, 0.2500)  1 Br 2.89, 4 Sn 3.07
Cd (0.0000, 0.9464, 0.7500)  1 Br 2.89, 4 Sn 3.07
Cd (0.5000, 0.4464, 0.7500)  1 Br 2.89, 4 Sn 3.07
Cd (0.5000, 0.5536, 0.2500)  1 Br 2.89, 4 Sn 3.07
Sn (0.0000, 0.5000, 0.0000)  2 Br 2.97, 4 Cd 3.07, 2 Sn 3.32
Sn (0.0000, 0.5000, 0.5000)  2 Br 2.97, 4 Cd 3.07, 2 Sn 3.32
Sn (0.5000, 0.0000, 0.0000)  2 Br 2.97, 4 Cd 3.07, 2 Sn 3.32
Sn (0.5000, 0.0000, 0.5000)  2 Br 2.97, 4 Cd 3.07, 2 Sn 3.32
Br (0.0000, 0.2945, 0.2500)  1 Cd 2.89, 2 Sn 2.97
Br (0.0000, 0.7055, 0.7500)  1 Cd 2.89, 2 Sn 2.97
Br (0.5000, 0.2055, 0.7500)  1 Cd 2.89, 2 Sn 2.97
Br (0.5000, 0.7945, 0.2500)  1 Cd 2.89, 2 Sn 2.97

E_form (uncorrected), kJ per mole of atoms: -27
Excess energy over the best structure of this formula in the dataset, meV/atom: 11.3
Spin magnetization, μB per formula unit: 0.0
Space group: Cmcm

No. 8
A geometry-optimized LaEr6Th structure. Source: the Alexandria database, functional PBE-GGA.

a = 5.0116 Å, b = 5.0116 Å, c = 10.0598 Å
α = 90.00°, β = 90.00°, γ = 90.00°
Closest atoms and distances in Å follow each position.
Fractional positions:
La (0.0000, 0.0000, 0.0000)  12 Er 3.54-3.59
Er (0.0000, 0.5000, 0.2561)  8 Er 3.51-3.59, 2 Th 3.51, 2 La 3.59
Er (0.0000, 0.5000, 0.7439)  2 Th 3.51, 8 Er 3.51-3.59, 2 La 3.59
Er (0.5000, 0.0000, 0.2561)  8 Er 3.51-3.59, 2 Th 3.51, 2 La 3.59
Er (0.5000, 0.0000, 0.7439)  2 Th 3.51, 8 Er 3.51-3.59, 2 La 3.59
Er (0.5000, 0.5000, 0.0000)  4 La 3.54, 8 Er 3.59
Er (0.5000, 0.5000, 0.5000)  8 Er 3.51, 4 Th 3.54
Th (0.0000, 0.0000, 0.5000)  12 Er 3.51-3.54

Excess energy over the best structure of this formula in the dataset, meV/atom: 0.0
Spin magnetization, μB per formula unit: 0.0
Calculated formation energy, eV per atom: 0.03
Space group: P4/mmm

No. 9
A geometry-optimized Rb2NaSnSe4 structure. Source: the Alexandria database, functional PBE-GGA.

a = 8.3452 Å, b = 8.3452 Å, c = 7.6921 Å
α = 90.00°, β = 90.00°, γ = 90.00°
Closest atoms and distances in Å follow each position.
Fractional positions:
Rb (0.0000, 0.5000, 0.0000)  8 Se 3.50-3.82, 2 Rb 3.85
Rb (0.0000, 0.5000, 0.5000)  8 Se 3.50-3.82, 2 Rb 3.85
Rb (0.5000, 0.0000, 0.0000)  8 Se 3.50-3.82, 2 Rb 3.85
Rb (0.5000, 0.0000, 0.5000)  8 Se 3.50-3.82, 2 Rb 3.85
Na (0.0000, 0.0000, 0.0000)  4 Se 2.99
Na (0.5000, 0.5000, 0.5000)  4 Se 2.99
Sn (0.0000, 0.0000, 0.5000)  4 Se 2.57
Sn (0.5000, 0.5000, 0.0000)  4 Se 2.57
Se (0.1689, 0.1689, 0.2889)  1 Sn 2.57
Se (0.1689, 0.8311, 0.7111)  1 Sn 2.57
Se (0.3311, 0.3311, 0.7889)  1 Sn 2.57
Se (0.3311, 0.6689, 0.2111)  1 Sn 2.57
Se (0.6689, 0.3311, 0.2111)  1 Sn 2.57
Se (0.6689, 0.6689, 0.7889)  1 Sn 2.57
Se (0.8311, 0.1689, 0.7111)  1 Sn 2.57
Se (0.8311, 0.8311, 0.2889)  1 Sn 2.57

E_form (uncorrected), kJ per mole of atoms: -76
Spin magnetization, μB per formula unit: 1.0
Space group: I-42m

No. 10
A geometry-optimized Th5Sc2Bi5 structure. Source: the Alexandria database, functional PBE-GGA.

a = 8.2464 Å, b = 8.2464 Å, c = 13.0414 Å
α = 120.64°, β = 120.64°, γ = 29.98°
Closest atoms and distances in Å follow each position.
Fractional positions:
Th (0.0000, 0.0000, 0.0000)  6 Bi 3.28-3.32
Th (0.1481, 0.1481, 0.7766)  5 Bi 3.28-3.44, 1 Th 3.65
Th (0.1587, 0.1587, 0.5035)  5 Bi 3.29-3.49, 2 Sc 3.39, 3 Th 3.65
Th (0.8413, 0.8413, 0.4965)  5 Bi 3.29-3.49, 2 Sc 3.39, 3 Th 3.65
Th (0.8519, 0.8519, 0.2234)  5 Bi 3.28-3.44, 1 Th 3.65
Sc (0.4377, 0.4377, 0.7343)  3 Bi 2.97-3.11
Sc (0.5623, 0.5623, 0.2657)  3 Bi 2.97-3.11
Bi (0.2063, 0.2063, 0.2711)  2 Sc 3.11, 5 Th 3.32-3.44
Bi (0.3637, 0.3637, 0.0400)  1 Sc 2.97, 4 Th 3.28
Bi (0.5000, 0.5000, 0.5000)  4 Th 3.29, 2 Sc 3.68
Bi (0.6363, 0.6363, 0.9600)  1 Sc 2.97, 4 Th 3.28
Bi (0.7937, 0.7937, 0.7289)  2 Sc 3.11, 5 Th 3.32-3.44

Spin magnetization, μB per formula unit: 0.0
Calculated formation energy, eV per atom: -0.37
Space group: C2/m

No. 11
A geometry-optimized K2ScHg structure. Source: the Alexandria database, functional PBE-GGA.

a = 5.0854 Å, b = 4.1921 Å, c = 6.2355 Å
α = 90.00°, β = 90.26°, γ = 90.00°
Closest atoms and distances in Å follow each position.
Fractional positions:
K (0.0000, 0.0000, 0.0000)  4 K 3.30
K (0.5000, 0.5000, 0.0000)  4 K 3.30
Sc (0.0000, 0.5000, 0.5000)  4 Hg 3.30
Hg (0.5000, 0.0000, 0.5000)  4 Sc 3.30

Excess energy over the best structure of this formula in the dataset, meV/atom: 298.8
Spin magnetization, μB per formula unit: 1.3
Calculated formation energy, eV per atom: 0.33
Space group: P2/m

No. 12
A geometry-optimized BaTl5In2 structure. Source: the Alexandria database, functional PBE-GGA.

a = 9.4113 Å, b = 9.4113 Å, c = 9.4113 Å
α = 125.82°, β = 125.82°, γ = 80.19°
Closest atoms and distances in Å follow each position.
Fractional positions:
Ba (0.2500, 0.2500, 0.0000)  10 Tl 3.60-3.65
Ba (0.7500, 0.7500, 0.0000)  10 Tl 3.60-3.65
Tl (0.0000, 0.0000, 0.0000)  4 In 3.25, 2 Ba 3.60
Tl (0.0007, 0.5007, 0.2168)  3 In 3.22-3.26, 1 Tl 3.43
Tl (0.2160, 0.9993, 0.5000)  3 In 3.22-3.26, 1 Tl 3.43
Tl (0.2840, 0.7840, 0.7832)  3 In 3.22-3.26, 1 Tl 3.43
Tl (0.4993, 0.7160, 0.5000)  3 In 3.22-3.26, 1 Tl 3.43
Tl (0.5000, 0.5000, 0.0000)  4 In 3.25, 2 Ba 3.60
Tl (0.5007, 0.2840, 0.5000)  3 In 3.22-3.26, 1 Tl 3.43
Tl (0.7160, 0.2160, 0.2168)  3 In 3.22-3.26, 1 Tl 3.43
Tl (0.7840, 0.0007, 0.5000)  3 In 3.22-3.26, 1 Tl 3.43
Tl (0.9993, 0.4993, 0.7832)  3 In 3.22-3.26, 1 Tl 3.43
In (0.1538, 0.3462, 0.5000)  8 Tl 3.22-3.26
In (0.3462, 0.8462, 0.1923)  8 Tl 3.22-3.26
In (0.6538, 0.1538, 0.8077)  8 Tl 3.22-3.26
In (0.8462, 0.6538, 0.5000)  8 Tl 3.22-3.26

Spin magnetization, μB per formula unit: 0.0
Calculated formation energy, eV per atom: -0.09
Space group: I4/mcm